This record from Alexandria describes a PBEsol-optimized structure of AlCoI2N. The functional is SCAN.

As for the uncorrected formation energy: 0.544 eV per atom. The calculation puts the density of states at the Fermi level at 0.82 states/eV/atom. The calculation puts the energy above the lowest structure with this stoichiometry at 0.54 kcal/mol of atoms. Its spin magnetization is 2.64 μB per formula unit.

The space group is P4/mmm (No. 123) and the conventional cell measures 5.542, 5.542 and 3.502 Å, with angles of 90.00, 90.00 and 90.00 degrees. Symmetry generates all atoms from Al at (0.000, 0.000, 0.000), Co at (0.500, 0.500, 0.500), I at (0.000, 0.500, 0.000) and N at (0.000, 0.000, 0.500).

=====

This record from Alexandria describes a PBEsol-optimized structure of AlInCo. The functional is SCAN.

The calculation puts the density of states at the Fermi level at 0.43 states/eV/atom. As for the total energy: -19.34 eV per atom. Its spin magnetization is 0.00 μB per formula unit.

The space group is P-6m2 (No. 187) and the conventional cell measures 4.1376, 4.1376 and 3.1027 Å, with angles of 90.00, 90.00 and 120.00 degrees. Symmetry generates all atoms from Al at (0.0000, 0.0000, 0.0000), In at (0.6667, 0.3333, 0.5000) and Co at (0.3333, 0.6667, 0.0000).

=====

This record from Alexandria describes a PBEsol-optimized structure of AlIn2Co. The functional is SCAN.

The calculation puts the density of states at the Fermi level at 0.37 states/eV/atom. As for the total energy: -22.65 eV per atom. Its spin magnetization is 0.00 μB per formula unit.

The space group is P4/mmm (No. 123) and the conventional cell measures 3.491, 3.491 and 5.596 Å, with angles of 90.00, 90.00 and 90.00 degrees. Symmetry generates all atoms from Al at (0.000, 0.000, 0.000), In at (0.500, 0.500, 0.262) and Co at (0.000, 0.000, 0.500).

=====

This record from Alexandria describes a PBEsol-optimized structure of Al2InCo. The functional is SCAN.

The calculation puts the density of states at the Fermi level at 0.47 states/eV/atom. As for the total energy: -16.49 eV per atom. Its spin magnetization is 0.00 μB per formula unit.

The space group is C2/m (No. 12) and the conventional cell measures 8.820, 2.958 and 4.811 Å, with angles of 90.00, 102.55 and 90.00 degrees. Symmetry generates all atoms from Al at (0.228, 0.000, 0.212), In at (0.000, 0.000, 0.500) and Co at (0.000, 0.500, 0.000).

=====

This record from Alexandria describes a PBEsol-optimized structure of AlInCo2. The functional is SCAN.

The calculation puts the density of states at the Fermi level at 0.27 states/eV/atom. As for the total energy: -18.95 eV per atom. Its spin magnetization is 2.46 μB per formula unit.

The space group is Cm (No. 8) and the conventional cell measures 9.246, 2.860 and 4.287 Å, with angles of 90.00, 108.99 and 90.00 degrees. Symmetry generates all atoms from Al at (0.000, 0.000, 0.000), In at (0.279, 0.500, 0.366), Co at (0.032, 0.500, 0.525) and Co at (0.255, 0.000, 0.854).

=====

This record from Alexandria describes a PBEsol-optimized structure of Al3InCo. The functional is SCAN.

The calculation puts the density of states at the Fermi level at 0.34 states/eV/atom. As for the total energy: -14.78 eV per atom. Its spin magnetization is 0.00 μB per formula unit.

The space group is Pm-3m (No. 221) and the conventional cell measures 4.527, 4.527 and 4.527 Å, with angles of 90.00, 90.00 and 90.00 degrees. Symmetry generates all atoms from Al at (0.000, 0.000, 0.500), In at (0.500, 0.500, 0.500) and Co at (0.000, 0.000, 0.000).

=====

This record from Alexandria describes a PBEsol-optimized structure of Al2InCo. The functional is SCAN.

The calculation puts the density of states at the Fermi level at 0.55 states/eV/atom. As for the total energy: -16.46 eV per atom. Its spin magnetization is 0.77 μB per formula unit.

The space group is I4/mmm (No. 139) and the conventional cell measures 3.906, 3.906 and 7.903 Å, with angles of 90.00, 90.00 and 90.00 degrees. Symmetry generates all atoms from Al at (0.000, 0.500, 0.250), In at (0.000, 0.000, 0.000) and Co at (0.000, 0.000, 0.500).

=====

This record from Alexandria describes a PBEsol-optimized structure of AlInCo2. The functional is SCAN.

The calculation puts the density of states at the Fermi level at 0.58 states/eV/atom. As for the total energy: -19.02 eV per atom. Its spin magnetization is 0.87 μB per formula unit.

The space group is P4/mmm (No. 123) and the conventional cell measures 4.145, 4.145 and 3.019 Å, with angles of 90.00, 90.00 and 90.00 degrees. Symmetry generates all atoms from Al at (0.000, 0.000, 0.000), In at (0.500, 0.500, 0.000) and Co at (0.000, 0.500, 0.500).

=====

Q: What is the formula in the seventh record?
A: Al2InCo